Record 1
Dy2Zn16Au PBE-GGA relaxed; M_tot = 0.0 μB per formula unit; SG = R3m; formation enthalpy at 0 K = -4.92 eV per formula unit; uncorrected energy = -37.79 eV per cell
1.0
4.4960 2.5958 4.4008
-4.4960 2.5958 4.4008
0.0000 -5.1915 4.4008
Dy Zn Au
2 16 1
direct
0.0000 0.0000 0.0000
0.3274 0.3274 0.3274
0.0168 0.0168 0.5006
0.0168 0.5006 0.0168
0.1671 0.6618 0.6618
0.3098 0.3098 0.8270
0.3098 0.8270 0.3098
0.3661 0.6643 0.9613
0.3661 0.9613 0.6643
0.5006 0.0168 0.0168
0.5608 0.5608 0.5608
0.6618 0.1671 0.6618
0.6618 0.6618 0.1671
0.6643 0.3661 0.9613
0.6643 0.9612 0.3661
0.8270 0.3098 0.3098
0.9613 0.3661 0.6643
0.9613 0.6643 0.3661
0.7664 0.7664 0.7664


Record 2
Cu2GeIr2 PBE-GGA relaxed; M_tot = 0.0 μB per formula unit; SG = P4/mbm; formation enthalpy at 0 K = 0.37 eV per formula unit; uncorrected energy = -60.33 eV per cell
1.0
6.2224 0.0000 0.0000
0.0000 6.2224 0.0000
0.0000 0.0000 3.9368
Cu Ge Ir
4 2 4
direct
0.1548 0.3452 0.0000
0.3452 0.8452 0.0000
0.6548 0.1548 0.0000
0.8452 0.6548 0.0000
0.0000 0.0000 0.5000
0.5000 0.5000 0.5000
0.1446 0.6446 0.5000
0.3554 0.1446 0.5000
0.6446 0.8554 0.5000
0.8554 0.3554 0.5000


Record 3
Mg3NbI PBE-GGA relaxed; M_tot = 4.0 μB per formula unit; SG = Pm-3m; uncorrected energy = -11.91 eV per cell; ΔE_f (raw) = 4.49 eV per formula unit
1.0
5.6468 0.0000 0.0000
0.0000 5.6468 0.0000
0.0000 0.0000 5.6468
Mg Nb I
3 1 1
direct
0.0000 0.0000 0.5000
0.0000 0.5000 0.0000
0.5000 0.0000 0.0000
0.0000 0.0000 0.0000
0.5000 0.5000 0.5000


Record 4
FePdSeBr2 PBE-GGA relaxed; M_tot = 0.0 μB per formula unit; SG = P4/mmm; uncorrected energy = -18.12 eV per cell; ΔE_f (raw) = 2.37 eV per formula unit
1.0
5.0517 0.0000 0.0000
0.0000 5.0517 0.0000
0.0000 0.0000 4.4052
Fe Pd Se Br
1 1 1 2
direct
0.0000 0.0000 0.0000
0.5000 0.5000 0.5000
0.0000 0.0000 0.5000
0.0000 0.5000 0.0000
0.5000 0.0000 0.0000


Record 5
TcPtW2 PBE-GGA relaxed; M_tot = 0.0 μB per formula unit; SG = C2/m; formation enthalpy at 0 K = -0.26 eV per formula unit; uncorrected energy = -42.57 eV per cell
1.0
2.7978 -3.9869 0.0000
2.7978 3.9869 0.0000
-0.0067 0.0000 2.7772
Tc Pt W
1 1 2
direct
0.0000 0.0000 0.0000
0.5000 0.5000 0.0000
0.0000 0.5000 0.5000
0.5000 0.0000 0.5000


Record 6
Ca8Mg2Ga PBE-GGA relaxed; M_tot = 0.0 μB per formula unit; SG = C2/m; formation enthalpy at 0 K = -1.04 eV per formula unit; uncorrected energy = -23.27 eV per cell
1.0
9.5949 -2.7990 0.0000
9.5949 2.7990 0.0000
-2.5482 0.0000 7.1560
Ca Mg Ga
8 2 1
direct
0.0197 0.0197 0.2869
0.2006 0.2006 0.7860
0.3452 0.3452 0.5471
0.4055 0.4055 0.0707
0.5945 0.5945 0.9293
0.6548 0.6548 0.4529
0.7994 0.7994 0.2140
0.9803 0.9803 0.7131
0.1795 0.1795 0.2024
0.8205 0.8205 0.7976
0.5000 0.5000 0.5000


Record 7
Pr3PuTl4Se8 PBE-GGA relaxed; M_tot = 5.0 μB per formula unit; SG = R-3m; uncorrected energy = -86.78 eV per cell; ΔE_f (raw) = -20.77 eV per formula unit
1.0
4.3351 2.5029 7.7272
-4.3351 2.5029 7.7272
0.0000 -5.0058 7.7272
Pr Pu Tl Se
3 1 4 8
direct
0.0000 0.5000 0.5000
0.5000 0.0000 0.5000
0.5000 0.5000 0.0000
0.0000 0.0000 0.0000
0.0000 0.0000 0.5000
0.0000 0.5000 0.0000
0.5000 0.0000 0.0000
0.5000 0.5000 0.5000
0.2336 0.2336 0.7424
0.2336 0.7424 0.2336
0.2576 0.7664 0.7664
0.2621 0.2621 0.2621
0.7379 0.7379 0.7379
0.7424 0.2336 0.2336
0.7664 0.2576 0.7664
0.7664 0.7664 0.2576


Record 8
Li2CaRu PBE-GGA relaxed; M_tot = 0.5 μB per formula unit; SG = Immm; formation enthalpy at 0 K = 1.04 eV per formula unit; uncorrected energy = -14.06 eV per cell
1.0
-1.5224 2.4671 5.2366
1.5224 -2.4671 5.2366
1.5224 2.4671 -5.2366
Li Ca Ru
2 1 1
direct
0.2119 0.2119 0.0000
0.7881 0.7881 0.0000
0.5000 0.0000 0.5000
0.0000 0.5000 0.5000


Record 9
LaYP PBE-GGA relaxed; M_tot = 0.0 μB per formula unit; SG = I4mm; formation enthalpy at 0 K = -2.36 eV per formula unit; uncorrected energy = -19.16 eV per cell
1.0
-1.7930 1.7930 6.4814
1.7930 -1.7930 6.4814
1.7930 1.7930 -6.4814
La Y P
1 1 1
direct
0.0000 0.0000 0.0000
0.2501 0.2501 0.0000
0.6360 0.6360 0.0000


Record 10
MnAlHgTe3 PBE-GGA relaxed; M_tot = 4.0 μB per formula unit; SG = P2_1/m; uncorrected energy = -47.94 eV per cell; ΔE_f (raw) = -1.33 eV per formula unit
1.0
9.6375 0.0000 0.0000
0.0000 3.9823 0.0000
-3.8207 0.0000 10.5541
Mn Al Hg Te
2 2 2 6
direct
0.1452 0.2500 0.1017
0.8548 0.7500 0.8983
0.4076 0.7500 0.3765
0.5924 0.2500 0.6235
0.2938 0.7500 0.7782
0.7062 0.2500 0.2218
0.0149 0.2500 0.8403
0.3017 0.2500 0.4794
0.3538 0.7500 0.1326
0.6462 0.2500 0.8674
0.6983 0.7500 0.5206
0.9851 0.7500 0.1597


Record 11
ScHIr2Rh PBE-GGA relaxed; M_tot = 0.0 μB per formula unit; SG = P4/mmm; uncorrected energy = -37.21 eV per cell
1.0
3.9824 0.0000 0.0000
0.0000 3.9824 0.0000
0.0000 0.0000 4.0148
Sc H Ir Rh
1 1 2 1
direct
0.0000 0.0000 0.0000
0.5000 0.5000 0.5000
0.0000 0.5000 0.5000
0.5000 0.0000 0.5000
0.5000 0.5000 0.0000


Record 12
CsBi3S5 PBE-GGA relaxed; M_tot = 0.0 μB per formula unit; SG = Pnma; uncorrected energy = -153.25 eV per cell; ΔE_f (raw) = -5.18 eV per formula unit
1.0
12.3653 0.0000 0.0000
0.0000 4.1208 0.0000
0.0000 0.0000 21.5603
Cs Bi S
4 12 20
direct
0.0195 0.2500 0.1197
0.4805 0.7500 0.6197
0.5195 0.2500 0.3803
0.9805 0.7500 0.8803
0.1181 0.2500 0.6490
0.1611 0.2500 0.3133
0.1638 0.7500 0.4784
0.3362 0.2500 0.9784
0.3388 0.7500 0.8133
0.3819 0.7500 0.1490
0.6181 0.2500 0.8510
0.6612 0.2500 0.1867
0.6638 0.7500 0.0216
0.8362 0.2500 0.5216
0.8388 0.7500 0.6867
0.8819 0.7500 0.3510
0.0169 0.2500 0.4173
0.0345 0.7500 0.2616
0.2168 0.2500 0.8765
0.2293 0.7500 0.0358
0.2325 0.7500 0.6983
0.2675 0.2500 0.1983
0.2707 0.2500 0.5359
0.2832 0.7500 0.3765
0.4655 0.2500 0.7616
0.4831 0.7500 0.9173
0.5169 0.2500 0.0827
0.5345 0.7500 0.2384
0.7168 0.2500 0.6235
0.7293 0.7500 0.4642
0.7325 0.7500 0.8017
0.7675 0.2500 0.3017
0.7707 0.2500 0.9642
0.7832 0.7500 0.1235
0.9655 0.2500 0.7384
0.9831 0.7500 0.5827